# CaAgPd2F8, relaxed, DFT PBE
data_CaAgPd2F8
_chemical_formula_sum 'Ca1 Ag1 Pd2 F8'
_cell_length_a 5.4543
_cell_length_b 5.4543
_cell_length_c 6.6607
_cell_angle_alpha 114.17
_cell_angle_beta 114.17
_cell_angle_gamma 90.00
_space_group_name_H-M_alt 'P 1'
_space_group_IT_number 1
loop_
_space_group_symop_operation_xyz
'x,y,z'
loop_
_atom_site_label
_atom_site_type_symbol
_atom_site_fract_x
_atom_site_fract_y
_atom_site_fract_z
_atom_site_occupancy
F1 F 0.3807 0.8621 0.2544 1
F2 F 0.6078 0.6193 0.7456 1
F3 F 0.3807 0.3920 0.2543 1
F4 F 0.1377 0.6193 0.7457 1
F5 F 0.6080 0.1264 0.7457 1
F6 F 0.8736 0.3922 0.2544 1
F7 F 0.1379 0.1264 0.7456 1
F8 F 0.8736 0.8623 0.2543 1
Pd1 Pd 0.2500 0.7500 0.5000 1
Pd2 Pd 0.5000 0.5000 0.0000 1
Ag1 Ag 0.0000 0.0000 0.0000 1
Ca1 Ca 0.7500 0.2500 0.5000 1
# size of the total moment	5.02	μB/cell
# DOS(E_F)	4.86	states/eV/cell
# E	-4.243	eV per atom
# uncorrected formation energy	-1725	meV per atom



# CaAgPdF6, relaxed, DFT PBE
data_CaAgPdF6
_chemical_formula_sum 'Ca2 Ag2 Pd2 F12'
_cell_length_a 5.7809
_cell_length_b 5.7809
_cell_length_c 9.6945
_cell_angle_alpha 90.00
_cell_angle_beta 90.00
_cell_angle_gamma 120.00
_space_group_name_H-M_alt 'P 1'
_space_group_IT_number 1
loop_
_space_group_symop_operation_xyz
'x,y,z'
loop_
_atom_site_label
_atom_site_type_symbol
_atom_site_fract_x
_atom_site_fract_y
_atom_site_fract_z
_atom_site_occupancy
F1 F 0.0265 0.3614 0.6343 1
F2 F 0.9735 0.6386 0.3657 1
F3 F 0.9735 0.3349 0.1343 1
F4 F 0.3349 0.3614 0.8657 1
F5 F 0.3614 0.3349 0.3657 1
F6 F 0.6651 0.6386 0.1343 1
F7 F 0.6386 0.6651 0.6343 1
F8 F 0.6386 0.9735 0.8657 1
F9 F 0.6651 0.0265 0.3657 1
F10 F 0.3614 0.0265 0.1343 1
F11 F 0.0265 0.6651 0.8657 1
F12 F 0.3349 0.9735 0.6343 1
Ag1 Ag 0.0000 0.0000 0.5000 1
Ag2 Ag 0.0000 0.0000 0.0000 1
Ca1 Ca 0.6667 0.3333 0.7500 1
Ca2 Ca 0.3333 0.6667 0.2500 1
Pd1 Pd 0.3333 0.6667 0.7500 1
Pd2 Pd 0.6667 0.3333 0.2500 1
# size of the total moment	2.00	μB/cell
# DOS(E_F)	7.54	states/eV/cell
# E	-4.434	eV per atom
# uncorrected formation energy	-2070	meV per atom



# Rb4CaAg3F12, relaxed, DFT PBE
data_Rb4CaAg3F12
_chemical_formula_sum 'Rb4 Ca1 Ag3 F12'
_cell_length_a 7.7242
_cell_length_b 7.7242
_cell_length_c 7.7242
_cell_angle_alpha 109.47
_cell_angle_beta 109.47
_cell_angle_gamma 109.47
_space_group_name_H-M_alt 'P 1'
_space_group_IT_number 1
loop_
_space_group_symop_operation_xyz
'x,y,z'
loop_
_atom_site_label
_atom_site_type_symbol
_atom_site_fract_x
_atom_site_fract_y
_atom_site_fract_z
_atom_site_occupancy
F1 F 0.2500 0.5000 0.7500 1
F2 F 0.2499 0.0000 0.2499 1
F3 F 0.2500 0.7500 0.5000 1
F4 F 0.0000 0.7501 0.7501 1
F5 F 0.0000 0.2499 0.2499 1
F6 F 0.5000 0.7500 0.2500 1
F7 F 0.7501 0.0000 0.7501 1
F8 F 0.5000 0.2500 0.7500 1
F9 F 0.7501 0.7501 0.0000 1
F10 F 0.2499 0.2499 0.0000 1
F11 F 0.7500 0.2500 0.5000 1
F12 F 0.7500 0.5000 0.2500 1
Ca1 Ca 0.0000 0.0000 0.0000 1
Rb1 Rb 0.0000 0.0000 0.5000 1
Rb2 Rb 0.5000 0.0000 0.0000 1
Rb3 Rb 0.5000 0.5000 0.5000 1
Rb4 Rb 0.0000 0.5000 0.0000 1
Ag1 Ag 0.5000 0.0000 0.5000 1
Ag2 Ag 0.5000 0.5000 0.0000 1
Ag3 Ag 0.0000 0.5000 0.5000 1
# size of the total moment	0.12	μB/cell
# DOS(E_F)	8.02	states/eV/cell
# E	-4.090	eV per atom
# uncorrected formation energy	-2246	meV per atom